This record from Alexandria via LeMat-Bulk describes an optimized crystal structure of Hf4Pt2Rh. The functional is GGA-PBE.

Cell lengths 4.8741, 4.8741, 7.5078 Å; angles 71.06, 71.06, 90.00 degrees
With the nearest neighbours (Å) after each atom.
Sites, in units of the cell vectors:
Pt: 0.6114 0.6114 0.7773  5 Hf 2.57-2.85
Pt: 0.3886 0.3886 0.2227  5 Hf 2.57-2.85
Hf: 0.8042 0.8042 0.3916  1 Pt 2.57, 1 Rh 2.61
Hf: 0.5000 0.0000 0.0000  2 Rh 2.44
Hf: 0.1958 0.1958 0.6084  1 Pt 2.57, 1 Rh 2.61
Rh: 0.0000 0.0000 0.0000  6 Hf 2.44-2.61
Hf: 0.0000 0.5000 0.0000  2 Rh 2.44

Output
ρ = 12.6 g/cm³
E_form = -20.8 kJ per mole of atoms

=====

This record from Alexandria via LeMat-Bulk describes an optimized crystal structure of Ho4Tl3Pd. The functional is GGA-PBE.

Cell lengths 3.6017, 3.6017, 15.7767 Å; angles 90.00, 90.00, 90.00 degrees
With the nearest neighbours (Å) after each atom.
Sites, in units of the cell vectors:
Tl: 0.5000 0.5000 0.5000  8 Ho 3.29, 4 Tl 3.60
Ho: 0.0000 0.0000 0.1056  4 Pd 3.04, 4 Tl 3.30, 1 Ho 3.33
Pd: 0.5000 0.5000 0.0000  8 Ho 3.04
Tl: 0.5000 0.5000 0.2389  8 Ho 3.26-3.30, 4 Tl 3.60
Ho: 0.0000 0.0000 0.8944  4 Pd 3.04, 4 Tl 3.30, 1 Ho 3.33
Ho: 0.0000 0.0000 0.6319  8 Tl 3.26-3.29, 4 Ho 3.60
Ho: 0.0000 0.0000 0.3681  8 Tl 3.26-3.29, 4 Ho 3.60
Tl: 0.5000 0.5000 0.7611  8 Ho 3.26-3.30, 4 Tl 3.60

Output
ρ = 11.2 g/cm³
ΔE to the lowest computed polymorph = 0 meV per atom
E_form = -46.1 kJ per mole of atoms

=====

This record from Alexandria via LeMat-Bulk describes an optimized crystal structure of KLi2Al. The functional is GGA-PBE.

Cell lengths 6.4485, 6.4485, 6.4485 Å; angles 149.50, 123.85, 65.25 degrees
With the nearest neighbours (Å) after each atom.
Sites, in units of the cell vectors:
Al: 0.7500 0.2500 0.5000  4 Li 2.79
Li: 0.9534 0.9534 0.0000  2 Al 2.79
K: 0.2500 0.7500 0.5000  2 K 3.39, 4 Al 3.48, 8 Li 3.64-3.75
Li: 0.5466 0.5466 0.0000  2 Al 2.79

Output
ρ = 1.2 g/cm³
E_form = 19.5 kJ per mole of atoms

=====

This record from Alexandria via LeMat-Bulk describes an optimized crystal structure of Al2TeP. The functional is GGA-PBE.

Cell lengths 6.7407, 6.7407, 6.7413 Å; angles 33.02, 33.02, 33.02 degrees
With the nearest neighbours (Å) after each atom.
Sites, in units of the cell vectors:
Al: 0.4861 0.4861 0.4860  3 P 2.58
Te: 0.2500 0.2500 0.2500  6 Al 2.89
P: 0.7500 0.7500 0.7500  6 Al 2.58
Al: 0.0139 0.0139 0.0140  3 P 2.58

Output
ρ = 4.4 g/cm³
ΔE to the lowest computed polymorph = 0 meV per atom
energy relative to the elements, uncorrected = -279 meV/atom

=====

This record from Alexandria via LeMat-Bulk describes an optimized crystal structure of Mg2TlH2. The functional is GGA-PBE.

Cell lengths 3.3348, 3.3348, 7.0695 Å; angles 76.36, 76.36, 90.00 degrees
With the nearest neighbours (Å) after each atom.
Sites, in units of the cell vectors:
H: 0.2500 0.7500 0.5000  4 Mg 2.03
Mg: 0.6632 0.6632 0.6736  4 H 2.03
Tl: 0.0000 0.0000 0.0000  8 Mg 3.21, 4 Tl 3.33
Mg: 0.3368 0.3368 0.3264  4 H 2.03
H: 0.7500 0.2500 0.5000  4 Mg 2.03

Output
ρ = 5.7 g/cm³
ΔE to the lowest computed polymorph = 0 meV per atom

=====

This record from Alexandria via LeMat-Bulk describes an optimized crystal structure of NaBeCoGe. The functional is GGA-PBE.

Cell lengths 4.1841, 2.7236, 5.3205 Å; angles 90.00, 113.14, 90.00 degrees
With the nearest neighbours (Å) after each atom.
Sites, in units of the cell vectors:
Ge: 0.9451 0.5000 0.8905  1 Be 2.59, 4 Co 2.59-2.60, 2 Ge 2.72
Be: 0.2108 0.5000 0.4194  2 Co 2.10
Co: 0.3729 0.0000 0.7452  2 Be 2.10
Na: 0.6459 0.0000 0.2900  4 Be 2.57-2.58, 1 Co 2.67, 2 Na 2.72

Output
ρ = 4.9 g/cm³
ΔE to the lowest computed polymorph = 268 meV per atom
E_form = 26.0 kJ per mole of atoms

=====

This record from Alexandria via LeMat-Bulk describes an optimized crystal structure of CrFeTeOs2. The functional is GGA-PBE.

Cell lengths 4.5028, 4.3880, 4.5028 Å; angles 90.00, 90.00, 90.00 degrees
With the nearest neighbours (Å) after each atom.
Sites, in units of the cell vectors:
Os: 0.0000 0.0000 0.5000  2 Fe 2.25
Fe: 0.0000 0.0000 0.0000  2 Cr 2.19, 4 Os 2.25
Cr: 0.0000 0.5000 0.0000  2 Fe 2.19
Os: 0.5000 0.0000 0.0000  2 Fe 2.25
Te: 0.5000 0.5000 0.5000  8 Os 3.14, 4 Cr 3.18

Output
ρ = 11.5 g/cm³
energy relative to the elements, uncorrected = 1362 meV/atom

=====

This record from Alexandria via LeMat-Bulk describes an optimized crystal structure of SrReI2N. The functional is GGA-PBE.

Cell lengths 5.7341, 5.7341, 3.8665 Å; angles 90.00, 90.00, 90.00 degrees
With the nearest neighbours (Å) after each atom.
Sites, in units of the cell vectors:
I: 0.5000 0.0000 0.0000  2 Re 2.87
Re: 0.0000 0.0000 0.0000  2 N 1.93
N: 0.0000 0.0000 0.5000  2 Re 1.93
I: 0.0000 0.5000 0.0000  2 Re 2.87
Sr: 0.5000 0.5000 0.5000  8 I 3.46, 2 Sr 3.87

Output
ρ = 7.1 g/cm³
ΔE to the lowest computed polymorph = 0 meV per atom
energy relative to the elements, uncorrected = -160 meV/atom